Compound: La2WO6
Source: Alexandria
Functional: GGA+U
Structure: relaxed

Geometry as POSCAR:
```
La2WO6
1.0
10.3069 -0.0224 0.0046
3.6895 9.6240 0.0046
1.3790 0.9460 5.4288
La W O
8 4 24
Cartesian
12.8263 7.1804 2.1191
12.0058 9.8546 4.8335
6.4829 6.2910 1.3618
9.9241 1.2748 1.3618
5.4514 9.2728 4.0762
8.8925 4.2566 4.0762
3.3696 0.6930 0.6044
2.5491 3.3672 3.3189
10.2077 4.8702 0.3429
8.9079 8.2431 3.0573
6.4676 2.3045 2.3807
5.1678 5.6774 5.0951
12.7211 8.9079 0.4246
13.5797 9.1345 3.1390
9.2680 9.2580 1.5001
10.7692 6.5989 0.7697
12.6633 5.7869 4.2145
10.7228 8.1446 3.4841
10.4155 4.0180 2.0016
8.1876 8.7438 4.7160
8.4121 5.2278 0.1100
6.9766 8.4583 2.2843
8.5951 6.4392 2.8244
11.0922 3.9370 4.9987
4.2832 6.6106 0.4392
6.7803 4.1084 2.6135
8.3988 2.0893 3.1537
6.9634 5.3198 5.3279
7.1879 1.8038 0.7220
4.9600 6.5296 3.4364
4.6527 2.4030 1.9539
2.7122 4.7607 1.2235
4.6063 3.9487 4.6683
6.1074 1.2896 3.9379
1.7958 1.4131 2.2990
2.6544 1.6397 5.0134
```

Results
Magnetic moment (μB/atom): 0.000
Calculated volume (A^3/atom): 14.97
Total DFT energy (no corrections) (Ha/atom): -0.29963
Density of states at the Fermi level (states/eV/f.u.): 0.00